{
  "formula": "CrAgHg2",
  "functional": "PBE-GGA",
  "state": "relaxed",
  "space_group": "P4mm (99)",
  "formation_energy_ev_per_atom": 0.324,
  "magnetic_moment_mub_per_cell": 4.2,
  "lattice": [[3.144, 0.000, 0.000], [0.000, 3.144, 0.000], [0.000, 0.000, 8.206]],
  "species": ["Cr", "Ag", "Hg", "Hg"],
  "frac_coords": [[0.000, 0.000, 0.000], [0.500, 0.500, 0.783], [0.000, 0.000, 0.529], [0.500, 0.500, 0.230]]
}


{
  "formula": "CrAg2Hg",
  "functional": "PBE-GGA",
  "state": "relaxed",
  "space_group": "Pmmm (47)",
  "formation_energy_ev_per_atom": 0.310,
  "magnetic_moment_mub_per_cell": 4.3,
  "lattice": [[3.108, 0.000, 0.000], [0.000, 4.020, 0.000], [0.000, 0.000, 5.990]],
  "species": ["Cr", "Ag", "Ag", "Hg"],
  "frac_coords": [[0.000, 0.000, 0.000], [0.500, 0.500, 0.237], [0.500, 0.500, 0.763], [0.000, 0.000, 0.500]]
}


{
  "formula": "CrAg4Hg",
  "functional": "PBE-GGA",
  "state": "relaxed",
  "space_group": "F-43m (216)",
  "formation_energy_ev_per_atom": 0.329,
  "magnetic_moment_mub_per_cell": 4.6,
  "lattice": [[0.000, 3.892, 3.892], [3.892, 0.000, 3.892], [3.892, 3.892, 0.000]],
  "species": ["Cr", "Ag", "Ag", "Ag", "Ag", "Hg"],
  "frac_coords": [[0.000, 0.000, 0.000], [0.375, 0.375, 0.375], [0.375, 0.375, 0.876], [0.375, 0.876, 0.375], [0.876, 0.375, 0.375], [0.750, 0.750, 0.750]]
}


{
  "formula": "CrAg2Hg",
  "functional": "PBE-GGA",
  "state": "relaxed",
  "space_group": "P2/m (10)",
  "formation_energy_ev_per_atom": 0.310,
  "magnetic_moment_mub_per_cell": 4.2,
  "lattice": [[5.001, 0.000, 0.000], [0.000, 3.057, 0.000], [-1.582, 0.000, 4.874]],
  "species": ["Cr", "Ag", "Ag", "Hg"],
  "frac_coords": [[0.000, 0.000, 0.000], [0.000, 0.500, 0.500], [0.500, 0.000, 0.500], [0.500, 0.500, 0.000]]
}


{
  "formula": "CrAg2Hg",
  "functional": "PBE-GGA",
  "state": "relaxed",
  "space_group": "Cm (8)",
  "formation_energy_ev_per_atom": 0.310,
  "magnetic_moment_mub_per_cell": 4.1,
  "lattice": [[4.844, -1.605, 0.000], [4.844, 1.605, 0.000], [-1.223, 0.000, 4.799]],
  "species": ["Cr", "Ag", "Ag", "Hg"],
  "frac_coords": [[0.000, 0.000, 0.000], [0.497, 0.497, 0.494], [0.745, 0.745, 0.254], [0.254, 0.254, 0.761]]
}


{
  "formula": "CrAgHg2",
  "functional": "PBE-GGA",
  "state": "relaxed",
  "space_group": "P4/mmm (123)",
  "formation_energy_ev_per_atom": 0.306,
  "magnetic_moment_mub_per_cell": 4.1,
  "lattice": [[4.488, 0.000, 0.000], [0.000, 4.488, 0.000], [0.000, 0.000, 3.917]],
  "species": ["Cr", "Ag", "Hg", "Hg"],
  "frac_coords": [[0.000, 0.000, 0.000], [0.500, 0.500, 0.000], [0.000, 0.500, 0.500], [0.500, 0.000, 0.500]]
}


{
  "formula": "CrAgHg2",
  "functional": "PBE-GGA",
  "state": "relaxed",
  "space_group": "Cmmm (65)",
  "formation_energy_ev_per_atom": 0.320,
  "magnetic_moment_mub_per_cell": 4.0,
  "lattice": [[3.181, -3.621, 0.000], [3.181, 3.621, 0.000], [0.000, 0.000, 3.422]],
  "species": ["Cr", "Ag", "Hg", "Hg"],
  "frac_coords": [[0.000, 0.000, 0.000], [0.500, 0.500, 0.000], [0.000, 0.500, 0.500], [0.500, 0.000, 0.500]]
}


{
  "formula": "CrAg2Hg",
  "functional": "PBE-GGA",
  "state": "relaxed",
  "space_group": "I4/mmm (139)",
  "formation_energy_ev_per_atom": 0.273,
  "magnetic_moment_mub_per_cell": 4.1,
  "lattice": [[-2.074, 2.074, 4.267], [2.074, -2.074, 4.267], [2.074, 2.074, -4.267]],
  "species": ["Cr", "Ag", "Ag", "Hg"],
  "frac_coords": [[0.000, 0.000, 0.000], [0.250, 0.750, 0.500], [0.750, 0.250, 0.500], [0.500, 0.500, 0.000]]
}


{
  "formula": "CrAgHg2",
  "functional": "PBE-GGA",
  "state": "relaxed",
  "space_group": "P2/m (10)",
  "formation_energy_ev_per_atom": 0.338,
  "magnetic_moment_mub_per_cell": 4.2,
  "lattice": [[4.914, 0.000, 0.000], [0.000, 3.331, 0.000], [-1.710, 0.000, 4.976]],
  "species": ["Cr", "Ag", "Hg", "Hg"],
  "frac_coords": [[0.000, 0.000, 0.000], [0.000, 0.500, 0.500], [0.500, 0.000, 0.500], [0.500, 0.500, 0.000]]
}


{
  "formula": "CrAg2Hg",
  "functional": "PBE-GGA",
  "state": "relaxed",
  "space_group": "F-43m (216)",
  "formation_energy_ev_per_atom": 0.294,
  "magnetic_moment_mub_per_cell": 4.0,
  "lattice": [[0.000, 3.330, 3.330], [3.330, 0.000, 3.330], [3.330, 3.330, 0.000]],
  "species": ["Cr", "Ag", "Ag", "Hg"],
  "frac_coords": [[0.000, 0.000, 0.000], [0.250, 0.250, 0.250], [0.500, 0.500, 0.500], [0.750, 0.750, 0.750]]
}


{
  "formula": "CrAgHg2",
  "functional": "PBE-GGA",
  "state": "relaxed",
  "space_group": "Cm (8)",
  "formation_energy_ev_per_atom": 0.321,
  "magnetic_moment_mub_per_cell": 4.1,
  "lattice": [[5.163, -1.627, 0.000], [5.163, 1.627, 0.000], [-1.251, 0.000, 4.743]],
  "species": ["Cr", "Ag", "Hg", "Hg"],
  "frac_coords": [[0.000, 0.000, 0.000], [0.268, 0.268, 0.722], [0.510, 0.510, 0.507], [0.742, 0.742, 0.196]]
}


{
  "formula": "Cr3AgHg",
  "functional": "PBE-GGA",
  "state": "relaxed",
  "space_group": "Pm-3m (221)",
  "formation_energy_ev_per_atom": 1.397,
  "magnetic_moment_mub_per_cell": 13.3,
  "relative_energy_mev_per_atom": 0,
  "lattice": [[5.019, 0.000, 0.000], [0.000, 5.019, 0.000], [0.000, 0.000, 5.019]],
  "species": ["Cr", "Cr", "Cr", "Ag", "Hg"],
  "frac_coords": [[0.000, 0.000, 0.500], [0.000, 0.500, 0.000], [0.500, 0.000, 0.000], [0.000, 0.000, 0.000], [0.500, 0.500, 0.500]]
}


{
  "formula": "CrAg2Hg",
  "functional": "PBE-GGA",
  "state": "relaxed",
  "space_group": "R-3m (166)",
  "formation_energy_ev_per_atom": 0.364,
  "magnetic_moment_mub_per_cell": 4.0,
  "lattice": [[1.516, 0.875, 9.500], [-1.516, 0.875, 9.500], [0.000, -1.751, 9.500]],
  "species": ["Cr", "Ag", "Ag", "Hg"],
  "frac_coords": [[0.000, 0.000, 0.000], [0.255, 0.255, 0.255], [0.745, 0.745, 0.745], [0.500, 0.500, 0.500]]
}


{
  "formula": "CrAgHg2",
  "functional": "PBE-GGA",
  "state": "relaxed",
  "space_group": "R3m (160)",
  "formation_energy_ev_per_atom": 0.372,
  "magnetic_moment_mub_per_cell": 4.3,
  "lattice": [[1.573, 0.908, 9.767], [-1.573, 0.908, 9.767], [0.000, -1.816, 9.767]],
  "species": ["Cr", "Ag", "Hg", "Hg"],
  "frac_coords": [[0.000, 0.000, 0.000], [0.259, 0.259, 0.259], [0.509, 0.509, 0.509], [0.745, 0.745, 0.745]]
}


{
  "formula": "CrAg2Hg",
  "functional": "PBE-GGA",
  "state": "relaxed",
  "space_group": "P4/mmm (123)",
  "formation_energy_ev_per_atom": 0.275,
  "magnetic_moment_mub_per_cell": 4.1,
  "lattice": [[4.129, 0.000, 0.000], [0.000, 4.129, 0.000], [0.000, 0.000, 4.345]],
  "species": ["Cr", "Ag", "Ag", "Hg"],
  "frac_coords": [[0.000, 0.000, 0.000], [0.000, 0.500, 0.500], [0.500, 0.000, 0.500], [0.500, 0.500, 0.000]]
}


{
  "formula": "CrAg2Hg",
  "functional": "PBE-GGA",
  "state": "relaxed",
  "space_group": "P4mm (99)",
  "formation_energy_ev_per_atom": 0.292,
  "magnetic_moment_mub_per_cell": 4.0,
  "lattice": [[3.381, 0.000, 0.000], [0.000, 3.381, 0.000], [0.000, 0.000, 6.459]],
  "species": ["Cr", "Ag", "Ag", "Hg"],
  "frac_coords": [[0.000, 0.000, 0.000], [0.000, 0.000, 0.515], [0.500, 0.500, 0.761], [0.500, 0.500, 0.246]]
}


{
  "formula": "CrAgHg2",
  "functional": "PBE-GGA",
  "state": "relaxed",
  "space_group": "I-42d (122)",
  "formation_energy_ev_per_atom": 0.451,
  "magnetic_moment_mub_per_cell": 8.7,
  "lattice": [[-2.107, 2.107, 10.001], [2.107, -2.107, 10.001], [2.107, 2.107, -10.001]],
  "species": ["Cr", "Cr", "Ag", "Ag", "Hg", "Hg", "Hg", "Hg"],
  "frac_coords": [[0.000, 0.000, 0.000], [0.750, 0.250, 0.500], [0.250, 0.750, 0.500], [0.500, 0.500, 0.000], [0.124, 0.625, 0.999], [0.375, 0.374, 0.499], [0.626, 0.125, 0.001], [0.875, 0.876, 0.501]]
}


{
  "formula": "CrAg2Hg",
  "functional": "PBE-GGA",
  "state": "relaxed",
  "space_group": "C2/m (12)",
  "formation_energy_ev_per_atom": 0.293,
  "magnetic_moment_mub_per_cell": 4.1,
  "lattice": [[4.919, -1.556, 0.000], [4.919, 1.556, 0.000], [-1.007, 0.000, 4.846]],
  "species": ["Cr", "Ag", "Ag", "Hg"],
  "frac_coords": [[0.000, 0.000, 0.000], [0.256, 0.256, 0.759], [0.744, 0.744, 0.241], [0.500, 0.500, 0.500]]
}


{
  "formula": "CrAg2Hg",
  "functional": "PBE-GGA",
  "state": "relaxed",
  "space_group": "Cmmm (65)",
  "formation_energy_ev_per_atom": 0.343,
  "magnetic_moment_mub_per_cell": 4.5,
  "lattice": [[2.959, -4.035, 0.000], [2.959, 4.035, 0.000], [0.000, 0.000, 3.161]],
  "species": ["Cr", "Ag", "Ag", "Hg"],
  "frac_coords": [[0.000, 0.000, 0.000], [0.000, 0.500, 0.500], [0.500, 0.000, 0.500], [0.500, 0.500, 0.000]]
}


{
  "formula": "CrAg2Hg",
  "functional": "PBE-GGA",
  "state": "relaxed",
  "space_group": "I-4m2 (119)",
  "formation_energy_ev_per_atom": 0.262,
  "magnetic_moment_mub_per_cell": 4.2,
  "lattice": [[-2.105, 2.105, 4.154], [2.105, -2.105, 4.154], [2.105, 2.105, -4.154]],
  "species": ["Cr", "Ag", "Ag", "Hg"],
  "frac_coords": [[0.000, 0.000, 0.000], [0.250, 0.750, 0.500], [0.500, 0.500, 0.000], [0.750, 0.250, 0.500]]
}


{
  "formula": "CrAgHg2",
  "functional": "PBE-GGA",
  "state": "relaxed",
  "space_group": "Pmm2 (25)",
  "formation_energy_ev_per_atom": 0.318,
  "magnetic_moment_mub_per_cell": 4.2,
  "lattice": [[3.361, 0.000, 0.000], [0.000, 3.826, 0.000], [0.000, 0.000, 6.233]],
  "species": ["Cr", "Ag", "Hg", "Hg"],
  "frac_coords": [[0.000, 0.000, 0.000], [0.500, 0.500, 0.763], [0.000, 0.000, 0.519], [0.500, 0.500, 0.228]]
}


{
  "formula": "CrAg2Hg",
  "functional": "PBE-GGA",
  "state": "relaxed",
  "space_group": "P4/mmm (123)",
  "formation_energy_ev_per_atom": 0.345,
  "magnetic_moment_mub_per_cell": 4.1,
  "lattice": [[3.169, 0.000, 0.000], [0.000, 3.169, 0.000], [0.000, 0.000, 7.476]],
  "species": ["Cr", "Ag", "Ag", "Hg"],
  "frac_coords": [[0.000, 0.000, 0.000], [0.500, 0.500, 0.230], [0.500, 0.500, 0.770], [0.000, 0.000, 0.500]]
}


{
  "formula": "CrAgHg2",
  "functional": "PBE-GGA",
  "state": "relaxed",
  "space_group": "I-4m2 (119)",
  "formation_energy_ev_per_atom": 0.307,
  "magnetic_moment_mub_per_cell": 4.3,
  "lattice": [[-2.086, 2.086, 4.570], [2.086, -2.086, 4.570], [2.086, 2.086, -4.570]],
  "species": ["Cr", "Ag", "Hg", "Hg"],
  "frac_coords": [[0.000, 0.000, 0.000], [0.250, 0.750, 0.500], [0.500, 0.500, 0.000], [0.750, 0.250, 0.500]]
}


{
  "formula": "CrAgHg2",
  "functional": "PBE-GGA",
  "state": "relaxed",
  "space_group": "R-3m (166)",
  "formation_energy_ev_per_atom": 0.342,
  "magnetic_moment_mub_per_cell": 4.1,
  "lattice": [[1.588, 0.917, 9.232], [-1.588, 0.917, 9.232], [0.000, -1.834, 9.232]],
  "species": ["Cr", "Ag", "Hg", "Hg"],
  "frac_coords": [[0.000, 0.000, 0.000], [0.500, 0.500, 0.500], [0.253, 0.253, 0.253], [0.747, 0.747, 0.747]]
}


{
  "formula": "CrAgHg2",
  "functional": "PBE-GGA",
  "state": "relaxed",
  "space_group": "Pmmm (47)",
  "formation_energy_ev_per_atom": 0.290,
  "magnetic_moment_mub_per_cell": 4.1,
  "lattice": [[3.243, 0.000, 0.000], [0.000, 3.789, 0.000], [0.000, 0.000, 6.368]],
  "species": ["Cr", "Ag", "Hg", "Hg"],
  "frac_coords": [[0.000, 0.000, 0.000], [0.000, 0.000, 0.500], [0.500, 0.500, 0.244], [0.500, 0.500, 0.756]]
}


{
  "formula": "CrAgHg2",
  "functional": "PBE-GGA",
  "state": "relaxed",
  "space_group": "C2/m (12)",
  "formation_energy_ev_per_atom": 0.315,
  "magnetic_moment_mub_per_cell": 4.1,
  "lattice": [[4.703, -1.630, 0.000], [4.703, 1.630, 0.000], [-1.144, 0.000, 5.263]],
  "species": ["Cr", "Ag", "Hg", "Hg"],
  "frac_coords": [[0.000, 0.000, 0.000], [0.500, 0.500, 0.500], [0.254, 0.254, 0.755], [0.746, 0.746, 0.245]]
}


{
  "formula": "CrAgHg2",
  "functional": "PBE-GGA",
  "state": "relaxed",
  "space_group": "P4/mmm (123)",
  "formation_energy_ev_per_atom": 0.292,
  "magnetic_moment_mub_per_cell": 3.8,
  "lattice": [[3.131, 0.000, 0.000], [0.000, 3.131, 0.000], [0.000, 0.000, 7.921]],
  "species": ["Cr", "Ag", "Hg", "Hg"],
  "frac_coords": [[0.000, 0.000, 0.000], [0.000, 0.000, 0.500], [0.500, 0.500, 0.240], [0.500, 0.500, 0.760]]
}


{
  "formula": "CrAg2Hg",
  "functional": "PBE-GGA",
  "state": "relaxed",
  "space_group": "I-42d (122)",
  "formation_energy_ev_per_atom": 0.497,
  "magnetic_moment_mub_per_cell": 8.8,
  "lattice": [[-3.835, 3.835, 2.808], [3.835, -3.835, 2.808], [3.835, 3.835, -2.808]],
  "species": ["Cr", "Cr", "Ag", "Ag", "Ag", "Ag", "Hg", "Hg"],
  "frac_coords": [[0.000, 0.000, 0.000], [0.750, 0.250, 0.500], [0.116, 0.625, 0.991], [0.375, 0.366, 0.491], [0.634, 0.125, 0.009], [0.875, 0.884, 0.509], [0.250, 0.750, 0.500], [0.500, 0.500, 0.000]]
}